28
Lattice="-2.228 4.319 -0.672 -5.563 -2.656 1.374 1.220 1.998 8.803" Properties=species:S:1:pos:R:3 comment="LiFeSiO4, optimized geometry, DFT PBE with a Hubbard U" de_polymorph_ev_per_atom=0.038 e_tot_ev_per_atom=-6.867 pbc="T T T"
Li -5.946 2.902 3.310
Li -4.316 1.925 8.019
Li -2.255 1.736 1.487
Li -0.625 0.759 6.195
Fe -2.782 -1.328 0.687
Fe 0.000 0.000 0.000
Fe -0.504 3.159 4.066
Fe -3.285 1.831 4.753
Si -3.169 4.189 2.525
Si -1.558 3.248 7.228
Si -5.013 0.413 2.277
Si -3.402 -0.528 6.980
O -3.328 0.124 8.538
O -5.803 1.719 1.602
O -3.007 3.442 7.947
O -0.627 4.579 7.359
O -3.955 3.097 3.444
O -1.575 4.233 2.856
O -4.966 2.278 6.072
O -4.642 0.489 3.925
O -1.929 3.172 5.581
O -1.605 1.384 3.434
O -5.944 -0.918 2.146
O -3.564 0.219 1.558
O -4.996 -0.572 6.649
O -2.616 0.564 6.061
O -0.767 1.942 7.903
O -3.243 3.537 0.967